[1]
Ce2Co5B3, optimized geometry, DFT PBE; ρ = 8.20 g/cm³; VASP energy = -141.19 eV/cell; density of states at the Fermi level = 6.5 states/eV/f.u.; energy of formation = -305.4 kJ/mol of formula units
1.0
-3.035 -3.551 2.354
-0.521 -6.149 -4.135
4.136 -5.349 3.076
Ce Co B
4 10 6
direct
0.133 0.621 0.112 Ce
0.633 0.112 0.621 Ce
0.867 0.379 0.888 Ce
0.367 0.888 0.379 Ce
0.399 0.225 0.978 Co
0.899 0.978 0.225 Co
0.601 0.775 0.022 Co
0.101 0.022 0.775 Co
0.524 0.726 0.726 Co
0.476 0.274 0.274 Co
0.750 0.500 0.500 Co
0.250 0.500 0.500 Co
0.976 0.274 0.274 Co
0.024 0.726 0.726 Co
0.388 0.493 0.732 B
0.888 0.732 0.493 B
0.612 0.507 0.268 B
0.112 0.268 0.507 B
0.250 0.000 0.000 B
0.750 0.000 0.000 B


[2]
HoNp2Ga9, optimized geometry, DFT PBE; ρ = 9.04 g/cm³; VASP energy = -59.77 eV/cell; density of states at the Fermi level = 17.0 states/eV/f.u.; energy of formation = -199.5 kJ/mol of formula units
1.0
-2.849 -4.183 -2.069
2.162 -3.086 -3.963
3.307 -7.893 4.178
Ho Np Ga
1 2 9
direct
0.000 0.000 0.000 Ho
0.856 0.856 0.432 Np
0.144 0.144 0.568 Np
0.665 0.665 0.005 Ga
0.335 0.335 0.995 Ga
0.500 0.500 0.500 Ga
0.412 0.412 0.254 Ga
0.922 0.412 0.254 Ga
0.412 0.922 0.254 Ga
0.588 0.588 0.746 Ga
0.588 0.078 0.746 Ga
0.078 0.588 0.746 Ga


[3]
SmMn2Si2, optimized geometry, DFT PBE; ρ = 6.50 g/cm³; VASP energy = -36.87 eV/cell; density of states at the Fermi level = 3.0 states/eV/f.u.; E_form (uncorrected) = -592 meV per atom
1.0
-2.071 -2.206 5.083
1.905 -5.050 2.421
2.030 5.036 -2.347
Sm Mn Si
1 2 2
direct
0.000 0.000 0.000 Sm
0.250 0.750 0.500 Mn
0.750 0.250 0.500 Mn
0.623 0.623 0.000 Si
0.377 0.377 0.000 Si


[4]
LiCo4W, optimized geometry, DFT PBE; ρ = 10.16 g/cm³; VASP energy = -42.64 eV/cell; density of states at the Fermi level = 4.7 states/eV/f.u.; energy of formation = 62.6 kJ/mol of formula units
1.0
0.000 3.266 3.266
3.266 0.000 3.266
3.266 3.266 0.000
Li Co W
1 4 1
direct
0.750 0.750 0.750 Li
0.873 0.376 0.376 Co
0.376 0.376 0.873 Co
0.376 0.873 0.376 Co
0.376 0.376 0.376 Co
0.000 0.000 0.000 W


[5]
Cr2InCu, optimized geometry, DFT PBE; ρ = 8.14 g/cm³; VASP energy = -24.44 eV/cell; density of states at the Fermi level = 2.7 states/eV/f.u.; energy of formation = 158.1 kJ/mol of formula units
1.0
4.944 -0.028 0.022
3.945 2.980 0.022
1.363 0.453 3.886
Cr Cu In
2 1 1
direct
0.008 0.008 0.938 Cr
0.492 0.492 0.562 Cr
0.750 0.750 0.750 Cu
0.250 0.250 0.250 In


[6]
Zr3Be, optimized geometry, DFT PBE; ρ = 6.01 g/cm³; VASP energy = -28.57 eV/cell; density of states at the Fermi level = 3.5 states/eV/f.u.; energy of formation = 77.3 kJ/mol of formula units
1.0
-4.067 1.777 -1.826
-2.264 -2.330 -3.533
-4.179 -2.195 0.865
Be Zr
1 3
direct
0.000 0.000 0.000 Be
0.250 0.250 0.250 Zr
0.500 0.500 0.500 Zr
0.750 0.750 0.750 Zr


[7]
SrAs5, optimized geometry, DFT PBE; ρ = 5.38 g/cm³; VASP energy = -25.59 eV/cell; density of states at the Fermi level = 4.6 states/eV/f.u.; energy of formation = -63.3 kJ/mol of formula units
1.0
3.222 4.173 -4.013
-4.087 2.365 4.648
2.850 0.141 2.435
Sr As
1 5
direct
0.000 0.000 0.500 Sr
0.585 0.000 0.000 As
0.415 0.415 0.000 As
0.000 0.585 0.000 As
0.667 0.333 0.500 As
0.333 0.667 0.500 As


[8]
Rb4Er3ZrTe8, optimized geometry, DFT PBE; ρ = 5.56 g/cm³; VASP energy = -71.19 eV/cell; density of states at the Fermi level = 4.1 states/eV/f.u.; E_form (uncorrected) = -1247 meV per atom
1.0
-1.387 -6.630 -5.733
7.529 3.314 -5.654
1.921 -1.792 8.477
Rb Er Zr Te
4 3 1 8
direct
0.500 0.000 0.000 Rb
0.500 0.000 0.500 Rb
0.000 0.000 0.000 Rb
0.000 0.000 0.500 Rb
0.500 0.500 0.000 Er
0.500 0.500 0.500 Er
0.000 0.500 0.500 Er
0.000 0.500 0.000 Zr
0.228 0.696 0.968 Te
0.228 0.696 0.456 Te
0.267 0.301 0.534 Te
0.740 0.696 0.968 Te
0.260 0.304 0.032 Te
0.733 0.699 0.466 Te
0.772 0.304 0.544 Te
0.772 0.304 0.032 Te


[9]
Li2CaH, optimized geometry, DFT PBE; ρ = 1.09 g/cm³; VASP energy = -18.53 eV/cell; density of states at the Fermi level = 3.5 states/eV/f.u.
1.0
-1.532 3.155 5.058
4.062 -3.270 3.270
4.386 2.913 3.257
H Ca Li
2 2 4
direct
0.500 0.500 0.000 H
0.250 0.750 0.500 H
0.000 0.000 0.000 Ca
0.750 0.250 0.500 Ca
0.375 0.125 0.250 Li
0.375 0.625 0.250 Li
0.375 0.625 0.750 Li
0.875 0.625 0.750 Li


[10]
Tb3Si2Rh6, optimized geometry, DFT PBE; ρ = 9.51 g/cm³; VASP energy = -155.78 eV/cell; density of states at the Fermi level = 8.1 states/eV/f.u.; E_form (uncorrected) = -822 meV per atom
1.0
-3.134 -6.010 4.342
3.369 -2.985 -6.674
5.592 3.821 4.351
Tb Si Rh
6 4 12
direct
0.706 0.000 0.706 Tb
0.294 0.000 0.294 Tb
0.000 0.294 0.294 Tb
0.000 0.706 0.706 Tb
0.294 0.294 0.000 Tb
0.706 0.706 0.000 Tb
0.000 0.500 0.000 Si
0.500 0.000 0.000 Si
0.000 0.000 0.500 Si
0.500 0.500 0.500 Si
0.687 0.373 0.687 Rh
0.687 0.000 0.313 Rh
0.313 0.000 0.687 Rh
0.313 0.627 0.313 Rh
0.000 0.687 0.313 Rh
0.627 0.313 0.313 Rh
0.373 0.687 0.687 Rh
0.000 0.313 0.687 Rh
0.313 0.687 0.000 Rh
0.687 0.687 0.373 Rh
0.313 0.313 0.627 Rh
0.687 0.313 0.000 Rh


Computed total magnetic moment (μB per cell) in order:
0.0, 8.8, 3.6, 0.0, 0.0, 0.0, 0.0, 0.9, 0.0, 0.0